(1)
GGA-PBE Er8Ni2Os, relaxed; calculated formation energy = -160 meV per atom; raw total energy = -5.5502 eV per atom; Fermi-level density of states = 11.63 states/eV/f.u.; M_tot = 0.00 Bohr magnetons per cell; space group = Cm (8); energy above the lowest structure with this stoichiometry = 89 meV per atom; calculated density = 9.810 g/cm3
1.0
5.7418 0.0847 -0.9469
-1.8790 6.5960 -2.8503
-0.0845 -0.1816 7.4244
Er Ni Os
8 2 1
Direct
0.5741 0.3377 0.0809 Er
0.5741 0.0809 0.3377 Er
0.1672 0.3607 0.3607 Er
0.9890 0.2160 0.7857 Er
0.9890 0.7857 0.2160 Er
0.8137 0.6447 0.6447 Er
0.3863 0.9259 0.6703 Er
0.3863 0.6703 0.9259 Er
0.4896 0.6968 0.3144 Ni
0.4896 0.3144 0.6968 Ni
0.1407 0.0010 0.0010 Os


(2)
GGA-PBE ErNiOs, relaxed; calculated formation energy = -410 meV per atom; raw total energy = -7.6008 eV per atom; Fermi-level density of states = 2.38 states/eV/f.u.; M_tot = 0.00 Bohr magnetons per cell; space group = Imma (74); energy above the lowest structure with this stoichiometry = 0 meV per atom; calculated density = 13.883 g/cm3
1.0
4.4337 0.0000 2.4894
1.4850 4.3378 2.5481
-0.0273 0.2026 5.2415
Er Ni Os
2 2 2
Direct
0.8785 0.3715 0.3715 Er
0.1215 0.6285 0.6285 Er
0.5000 0.5000 0.0000 Ni
0.5000 0.0000 0.5000 Ni
0.0000 0.0000 0.0000 Os
0.5000 0.0000 0.0000 Os


Which formula does entry 2 have? ErNiOs